1.
A plane-wave DFT calculation with GGA-PBE was carried out for a geometry-optimized Na2ThTcN4 structure.

The structure in POSCAR format:
```
Na2ThTcN4
1.0
4.9981 0.0000 0.0000
0.0000 7.4031 0.0000
0.0000 0.0000 7.1604
N Na Tc Th
8 4 2 2
Direct
0.4278 0.6965 0.2715 N
0.4278 0.6965 0.7285 N
0.9278 0.3035 0.2285 N
0.4346 0.0654 0.5000 N
0.9346 0.9346 0.0000 N
0.8679 0.8267 0.5000 N
0.9278 0.3035 0.7715 N
0.3679 0.1733 0.0000 N
0.9486 0.6332 0.2515 Na
0.4486 0.3668 0.2485 Na
0.4486 0.3668 0.7515 Na
0.9486 0.6332 0.7485 Na
0.9987 0.1909 0.0000 Tc
0.4987 0.8091 0.5000 Tc
0.9460 0.1245 0.5000 Th
0.4460 0.8755 0.0000 Th
```

Values from the calculation:
Raw formation energy   -0.50 eV/atom
Spin magnetization   0.131 μB per atom
Total energy   -7.21 eV/atom

---

2.
A plane-wave DFT calculation with GGA-PBE was carried out for a geometry-optimized NaUTcN3 structure.

The structure in POSCAR format:
```
NaUTcN3
1.0
3.4270 0.0000 0.0000
0.0000 7.0000 0.1860
0.0000 -2.5948 8.5926
Na N Tc U
2 6 2 2
Direct
0.2500 0.1778 0.1512 Na
0.7500 0.8222 0.8488 Na
0.2500 0.8273 0.3996 N
0.2500 0.1259 0.8493 N
0.7500 0.1727 0.6004 N
0.7500 0.4584 0.1080 N
0.7500 0.8741 0.1507 N
0.2500 0.5416 0.8920 N
0.7500 0.9831 0.3878 Tc
0.2500 0.0169 0.6122 Tc
0.2500 0.6709 0.1490 U
0.7500 0.3291 0.8510 U
```

Values from the calculation:
Raw formation energy   -0.61 eV/atom
Spin magnetization   0.000 μB per atom
Total energy   -8.60 eV/atom

---

3.
A plane-wave DFT calculation with GGA-PBE was carried out for a geometry-optimized Na2UTcN4 structure.

The structure in POSCAR format:
```
Na2UTcN4
1.0
4.4963 0.0000 0.0000
0.0000 7.4872 0.0000
0.0000 0.0000 6.8715
Tc N Na U
2 8 4 2
Direct
0.9375 0.1811 0.0000 Tc
0.4375 0.8189 0.5000 Tc
0.4375 0.0873 0.5000 N
0.9375 0.2919 0.2477 N
0.4375 0.7081 0.2523 N
0.9375 0.2919 0.7523 N
0.4375 0.7081 0.7477 N
0.4375 0.1592 0.0000 N
0.9375 0.8408 0.5000 N
0.9375 0.9127 0.0000 N
0.9375 0.6288 0.7537 Na
0.4375 0.3712 0.7463 Na
0.4375 0.3712 0.2537 Na
0.9375 0.6288 0.2463 Na
0.9375 0.1066 0.5000 U
0.4375 0.8934 0.0000 U
```

Values from the calculation:
Raw formation energy   -0.45 eV/atom
Spin magnetization   0.062 μB per atom
Total energy   -7.65 eV/atom